(1)
This record from Alexandria describes NdGeRuO after structural relaxation. The functional is PBE-GGA.

## Properties
Formation energy without anion corrections   -1.63 eV/atom
E_tot   -7.53 eV/atom
D(E_F)   0.8446 states/eV/atom
Size of the total moment   0.000 μB per atom

POSCAR file:
```
NdGeRuO
1.0
-1.929 -0.057 3.757
0.533 -4.185 0.210
7.148 1.095 3.687
Nd Ge Ru O
2 2 2 2
Cartesian
3.586 0.669 4.226
2.863 -1.695 1.445
6.382 -1.156 3.260
0.067 0.130 2.411
-0.698 -2.121 1.984
0.000 0.000 0.000
3.574 0.547 1.843
2.875 -1.573 3.827
```

(2)
This record from Alexandria describes Nd4GeS2O after structural relaxation. The functional is PBE-GGA.

## Properties
Formation energy without anion corrections   -1.86 eV/atom
E_tot   -6.48 eV/atom
D(E_F)   0.3022 states/eV/atom
Size of the total moment   0.000 μB per atom

POSCAR file:
```
Nd4GeS2O
1.0
5.798 0.332 0.000
-0.300 5.800 0.000
-2.749 -3.066 5.673
Nd Ge S O
4 1 2 1
Cartesian
5.581 2.841 0.000
2.218 5.857 0.000
-0.335 -0.374 2.944
2.414 2.692 2.729
5.134 5.726 0.000
-0.478 2.534 2.836
2.571 -0.200 2.836
2.124 2.368 0.000
```

(3)
This record from Alexandria describes Tb4Nd2Ge3O2 after structural relaxation. The functional is PBE-GGA.

## Properties
Formation energy without anion corrections   -1.57 eV/atom
E_tot   -6.28 eV/atom
D(E_F)   0.7391 states/eV/atom
Size of the total moment   0.000 μB per atom

POSCAR file:
```
Tb4Nd2Ge3O2
1.0
4.590 0.000 0.000
0.000 4.590 0.000
-2.295 -2.295 12.126
Tb Nd Ge O
4 2 3 2
Cartesian
0.000 2.295 10.198
2.295 0.000 10.198
0.000 2.295 1.928
2.295 0.000 1.928
0.000 0.000 7.328
2.295 2.295 4.799
0.000 0.000 0.000
0.000 0.000 4.191
2.295 2.295 7.935
0.000 0.000 9.865
2.295 2.295 2.261
```

(4)
This record from Alexandria describes Tb2Nd4Ge3O2 after structural relaxation. The functional is PBE-GGA.

## Properties
Formation energy without anion corrections   -1.47 eV/atom
E_tot   -6.21 eV/atom
D(E_F)   0.5232 states/eV/atom
Size of the total moment   0.000 μB per atom

POSCAR file:
```
Tb2Nd4Ge3O2
1.0
4.704 0.000 0.000
0.000 4.704 0.000
-2.352 -2.352 12.111
Tb Nd Ge O
2 4 3 2
Cartesian
0.000 0.000 7.275
2.352 2.352 4.837
0.000 2.352 10.141
2.352 0.000 10.141
0.000 2.352 1.971
2.352 0.000 1.971
0.000 0.000 0.000
0.000 0.000 4.298
2.352 2.352 7.813
0.000 0.000 9.531
2.352 2.352 2.580
```

(5)
This record from Alexandria describes NdGe2TeO8 after structural relaxation. The functional is PBE-GGA.

## Properties
Formation energy without anion corrections   -1.60 eV/atom
E_tot   -6.33 eV/atom
D(E_F)   0.3350 states/eV/atom
Size of the total moment   0.000 μB per atom

POSCAR file:
```
NdGe2TeO8
1.0
-5.179 0.585 -1.877
0.889 -1.363 5.295
0.141 6.700 1.700
Nd Ge Te O
1 2 1 8
Cartesian
0.070 3.350 0.850
-1.032 4.099 4.126
-3.116 1.823 0.993
0.000 0.000 0.000
-0.420 5.010 2.720
0.052 4.287 5.529
-2.695 4.597 4.533
-1.454 1.325 0.585
-3.082 3.484 1.414
-1.067 2.438 3.704
-3.729 0.913 2.398
-4.200 1.635 -0.410
```

(6)
This record from Alexandria describes NdThGe2O8 after structural relaxation. The functional is PBE-GGA.

## Properties
Formation energy without anion corrections   -2.48 eV/atom
E_tot   -7.57 eV/atom
D(E_F)   0.7549 states/eV/atom
Size of the total moment   0.000 μB per atom

POSCAR file:
```
NdThGe2O8
1.0
6.135 0.107 0.000
-2.625 5.546 0.000
-1.755 -2.826 5.155
Nd Th Ge O
1 1 2 8
Cartesian
-1.312 2.773 2.578
0.000 0.000 0.000
3.067 0.054 2.578
1.755 2.826 0.000
1.647 -0.446 1.634
0.339 2.293 0.922
0.150 -1.506 4.233
3.250 -1.441 3.521
3.171 3.360 0.922
4.488 0.553 1.634
2.885 1.548 3.521
-0.150 1.506 4.233
```

(7)
This record from Alexandria describes Nd4TlGeO after structural relaxation. The functional is PBE-GGA.

## Properties
Formation energy without anion corrections   -1.12 eV/atom
E_tot   -5.55 eV/atom
D(E_F)   0.7456 states/eV/atom
Size of the total moment   0.066 μB per atom

POSCAR file:
```
Nd4TlGeO
1.0
-6.038 1.672 -2.203
-2.062 -6.288 0.881
0.623 1.073 9.118
Nd Tl Ge O
8 2 2 2
Cartesian
-5.635 0.937 6.142
-3.567 -3.107 7.418
-1.844 -4.479 1.654
-3.911 -0.436 0.378
-3.739 -1.771 3.898
0.311 0.537 4.559
-2.708 1.373 3.457
-0.720 -2.607 5.000
-5.088 -3.464 1.305
-2.390 -0.079 6.491
-1.077 -1.124 2.099
-6.401 -2.418 5.696
-2.887 -3.649 5.142
-4.592 0.106 2.654
```

(8)
This record from Alexandria describes NdTlGeO4 after structural relaxation. The functional is PBE-GGA.

## Properties
Formation energy without anion corrections   -2.07 eV/atom
E_tot   -6.58 eV/atom
D(E_F)   0.0000 states/eV/atom
Size of the total moment   0.000 μB per atom

POSCAR file:
```
NdTlGeO4
1.0
-1.072 3.130 -5.135
2.515 -4.363 -3.184
-6.284 -4.374 1.031
Nd Tl Ge O
2 2 2 8
Cartesian
-1.724 -2.717 -5.999
-3.117 -2.889 -1.290
-4.455 -5.090 -4.905
-0.386 -0.516 -2.384
-0.589 -3.960 -3.400
-4.252 -1.646 -3.889
-3.967 -2.093 -5.601
0.276 -5.508 -3.145
-0.874 -3.513 -1.688
-5.117 -0.098 -4.144
0.124 -2.760 -4.481
-4.965 -2.847 -2.808
-2.166 -4.311 -4.165
-2.675 -1.295 -3.124
```